A plane-wave DFT calculation with PBE with a Hubbard U was carried out for a relaxed structure of BaSrPrNiO6.

Results
The calculation puts the total energy at -6.05 eV per atom. The calculation puts the volume at 586.2 Å³/cell.

Unit cell a=8.3691 b=8.3691 c=8.3691 alpha=90.00 beta=90.00 gamma=90.00
Space group F-43m (No. 216)
Asymmetric unit:
Ba (0.0000, 0.0000, 0.0000) x4
Sr (0.0000, 0.0000, 0.5000) x4
Pr (0.2500, 0.2500, 0.7500) x4
Ni (0.2500, 0.2500, 0.2500) x4
O (0.0257, 0.2500, 0.2500) x24